Record 1
An optimized crystal structure of Pm2EuF. Source: Alexandria, functional PBE.

Unit cell a=3.790 b=3.790 c=9.783 alpha=78.83 beta=78.83 gamma=60.00
Element x y z (fractional)
1 F 0.500 0.500 0.500
2 Eu 0.000 0.000 0.000
3 Pm 0.881 0.881 0.357
4 Pm 0.119 0.119 0.643

* symmetry: No. 166
* total DFT energy (no corrections): -6.376 eV per atom
* raw formation energy: -0.964 eV/atom

=====

Record 2
An optimized crystal structure of TiOsO2. Source: Alexandria, functional PBE.

Unit cell a=3.889 b=3.889 c=3.889 alpha=60.00 beta=60.00 gamma=60.00
Element x y z (fractional)
1 Ti 0.000 0.000 0.000
2 O 0.250 0.250 0.250
3 O 0.750 0.750 0.750
4 Os 0.500 0.500 0.500

* symmetry: No. 225
* total DFT energy (no corrections): -7.593 eV per atom
* raw formation energy: -0.332 eV/atom

=====

Record 3
An optimized crystal structure of LaPb3. Source: Alexandria, functional PBE.

Unit cell a=5.760 b=3.535 c=6.195 alpha=88.95 beta=90.00 gamma=90.00
Element x y z (fractional)
1 La 0.000 0.000 0.000
2 Pb 0.500 0.649 0.757
3 Pb 0.500 0.351 0.243
4 Pb 0.000 0.500 0.500

* symmetry: No. 10
* total DFT energy (no corrections): -4.286 eV per atom

=====

Record 4
An optimized crystal structure of La3Nd2Ge3. Source: Alexandria, functional PBE.

Unit cell a=6.830 b=8.962 c=8.962 alpha=120.00 beta=90.00 gamma=90.00
Element x y z (fractional)
1 La 0.750 0.752 0.752
2 La 0.250 0.248 0.248
3 La 0.750 0.000 0.248
4 La 0.750 0.248 0.000
5 La 0.250 0.752 0.000
6 La 0.250 0.000 0.752
7 Nd 0.500 0.667 0.333
8 Nd 0.500 0.333 0.667
9 Nd 0.000 0.333 0.667
10 Nd 0.000 0.667 0.333
11 Ge 0.250 0.000 0.394
12 Ge 0.750 0.606 0.000
13 Ge 0.750 0.000 0.606
14 Ge 0.750 0.394 0.394
15 Ge 0.250 0.606 0.606
16 Ge 0.250 0.394 0.000

* symmetry: No. 193
* total DFT energy (no corrections): -5.471 eV per atom